(1)
# TbCe3Er3Te8 | Alexandria | PBE-GGA | optimized geometry
# Size of the total moment = 11.78 μB/cell
# Volume = 32.00 Å³ per atom
# Uncorrected formation energy = -20.45 eV per formula unit
data_TbCe3Er3Te8
_cell_length_a 8.7468
_cell_length_b 8.7468
_cell_length_c 21.7324
_cell_angle_alpha 90.00
_cell_angle_beta 90.00
_cell_angle_gamma 120.00
_symmetry_space_group_name_H-M 'R -3 m'
_symmetry_Int_Tables_number 166
_symmetry_space_group_name_Hall '-R 3 2"'
loop_
_atom_site_label
_atom_site_fract_x
_atom_site_fract_y
_atom_site_fract_z
_atom_site_occupancy
Tb1 0.0000 0.0000 0.0000 1
Ce1 0.0000 0.5000 0.5000 1
Er1 0.0000 0.5000 0.0000 1
Te1 0.0000 0.0000 0.2546 1
Te2 0.0109 0.5054 0.2521 1

(2)
# Tb2Ce3ErTe6 | Alexandria | PBE-GGA | optimized geometry
# Size of the total moment = 7.10 μB/cell
# Volume = 30.58 Å³ per atom
# Uncorrected formation energy = -16.03 eV per formula unit
data_Tb2Ce3ErTe6
_cell_length_a 7.584
_cell_length_b 13.162
_cell_length_c 7.777
_cell_angle_alpha 90.00
_cell_angle_beta 109.01
_cell_angle_gamma 90.00
_symmetry_space_group_name_H-M 'C 1 2/m 1'
_symmetry_Int_Tables_number 12
_symmetry_space_group_name_Hall '-C 2y'
loop_
_atom_site_label
_atom_site_fract_x
_atom_site_fract_y
_atom_site_fract_z
_atom_site_occupancy
Tb1 0.000 0.166 0.000 1
Ce1 0.000 0.000 0.500 1
Ce2 0.000 0.331 0.500 1
Er1 0.000 0.500 0.000 1
Te1 0.244 0.335 0.238 1
Te2 0.250 0.000 0.240 1

(3)
# Tb2CeEr3Te6 | Alexandria | PBE-GGA | optimized geometry
# Size of the total moment = 2.67 μB/cell
# Volume = 29.44 Å³ per atom
# Uncorrected formation energy = -15.30 eV per formula unit
data_Tb2CeEr3Te6
_cell_length_a 19.100
_cell_length_b 4.329
_cell_length_c 8.810
_cell_angle_alpha 90.00
_cell_angle_beta 104.14
_cell_angle_gamma 90.00
_symmetry_space_group_name_H-M 'C 1 2/m 1'
_symmetry_Int_Tables_number 12
_symmetry_space_group_name_Hall '-C 2y'
loop_
_atom_site_label
_atom_site_fract_x
_atom_site_fract_y
_atom_site_fract_z
_atom_site_occupancy
Tb1 0.164 0.000 0.328 1
Ce1 0.000 0.500 0.000 1
Er1 0.000 0.500 0.500 1
Er2 0.165 0.000 0.833 1
Te1 0.001 0.000 0.741 1
Te2 0.167 0.500 0.585 1
Te3 0.171 0.500 0.081 1

(4)
# TbCe2ErTe5 | Alexandria | PBE-GGA | optimized geometry
# Size of the total moment = 3.43 μB/cell
# Volume = 39.49 Å³ per atom
# Uncorrected formation energy = -7.13 eV per formula unit
data_TbCe2ErTe5
_cell_length_a 5.555
_cell_length_b 5.555
_cell_length_c 11.517
_cell_angle_alpha 90.00
_cell_angle_beta 90.00
_cell_angle_gamma 90.00
_symmetry_space_group_name_H-M 'P 4/m m m'
_symmetry_Int_Tables_number 123
_symmetry_space_group_name_Hall '-P 4 2'
loop_
_atom_site_label
_atom_site_fract_x
_atom_site_fract_y
_atom_site_fract_z
_atom_site_occupancy
Tb1 0.000 0.000 0.000 1
Ce1 0.500 0.500 0.179 1
Er1 0.000 0.000 0.500 1
Te1 0.000 0.000 0.257 1
Te2 0.000 0.500 0.000 1
Te3 0.500 0.500 0.500 1

(5)
# TbCe2Er3Te6 | Alexandria | PBE-GGA | optimized geometry
# Size of the total moment = 5.15 μB/cell
# Volume = 29.81 Å³ per atom
# Uncorrected formation energy = -15.49 eV per formula unit
data_TbCe2Er3Te6
_cell_length_a 19.218
_cell_length_b 4.338
_cell_length_c 8.870
_cell_angle_alpha 90.00
_cell_angle_beta 104.67
_cell_angle_gamma 90.00
_symmetry_space_group_name_H-M 'C 1 2/m 1'
_symmetry_Int_Tables_number 12
_symmetry_space_group_name_Hall '-C 2y'
loop_
_atom_site_label
_atom_site_fract_x
_atom_site_fract_y
_atom_site_fract_z
_atom_site_occupancy
Tb1 0.000 0.000 0.000 1
Ce1 0.168 0.500 0.335 1
Er1 0.000 0.000 0.500 1
Er2 0.168 0.500 0.834 1
Te1 0.004 0.500 0.749 1
Te2 0.163 0.000 0.592 1
Te3 0.167 0.000 0.074 1

(6)
# Tb6Ce2Er3Th | Alexandria | PBE-GGA | optimized geometry
# Size of the total moment = 2.46 μB/cell
# Formation energy from the elements = 0.04 eV per atom
# Volume = 31.19 Å³ per atom
data_Tb6Ce2Er3Th
_cell_length_a 6.118
_cell_length_b 10.595
_cell_length_c 11.728
_cell_angle_alpha 90.00
_cell_angle_beta 100.03
_cell_angle_gamma 90.00
_symmetry_space_group_name_H-M 'C 1 2/m 1'
_symmetry_Int_Tables_number 12
_symmetry_space_group_name_Hall '-C 2y'
loop_
_atom_site_label
_atom_site_fract_x
_atom_site_fract_y
_atom_site_fract_z
_atom_site_occupancy
Tb1 0.249 0.000 0.252 1
Tb2 0.250 0.166 0.748 1
Ce1 0.000 0.333 0.500 1
Er1 0.000 0.167 0.000 1
Er2 0.000 0.500 0.000 1
Th1 0.000 0.000 0.500 1

(7)
# Tb6CeEr3Th2 | Alexandria | PBE-GGA | optimized geometry
# Size of the total moment = 3.72 μB/cell
# Formation energy from the elements = 0.15 eV per atom
# Volume = 31.82 Å³ per atom
data_Tb6CeEr3Th2
_cell_length_a 9.395
_cell_length_b 17.700
_cell_length_c 5.894
_cell_angle_alpha 90.00
_cell_angle_beta 128.81
_cell_angle_gamma 90.00
_symmetry_space_group_name_H-M 'C 1 2/m 1'
_symmetry_Int_Tables_number 12
_symmetry_space_group_name_Hall '-C 2y'
loop_
_atom_site_label
_atom_site_fract_x
_atom_site_fract_y
_atom_site_fract_z
_atom_site_occupancy
Tb1 0.247 0.000 0.247 1
Tb2 0.247 0.162 0.748 1
Ce1 0.000 0.000 0.500 1
Er1 0.000 0.173 0.000 1
Er2 0.000 0.500 0.000 1
Th1 0.000 0.332 0.500 1

(8)
# Tb3CeEr6Th2 | Alexandria | PBE-GGA | optimized geometry
# Size of the total moment = 1.02 μB/cell
# Formation energy from the elements = 0.03 eV per atom
# Volume = 31.01 Å³ per atom
data_Tb3CeEr6Th2
_cell_length_a 6.127
_cell_length_b 10.610
_cell_length_c 11.629
_cell_angle_alpha 90.00
_cell_angle_beta 100.13
_cell_angle_gamma 90.00
_symmetry_space_group_name_H-M 'C 1 2/m 1'
_symmetry_Int_Tables_number 12
_symmetry_space_group_name_Hall '-C 2y'
loop_
_atom_site_label
_atom_site_fract_x
_atom_site_fract_y
_atom_site_fract_z
_atom_site_occupancy
Tb1 0.000 0.000 0.000 1
Tb2 0.000 0.333 0.000 1
Ce1 0.000 0.500 0.500 1
Er1 0.248 0.000 0.746 1
Er2 0.250 0.167 0.254 1
Th1 0.000 0.167 0.500 1

(9)
# TbCeEr2Tl4 | Alexandria | PBE-GGA | optimized geometry
# Size of the total moment = 3.13 μB/cell
# Formation energy from the elements = -0.30 eV per atom
# Volume = 27.77 Å³ per atom
data_TbCeEr2Tl4
_cell_length_a 5.3852
_cell_length_b 5.3852
_cell_length_c 26.5395
_cell_angle_alpha 90.00
_cell_angle_beta 90.00
_cell_angle_gamma 120.00
_symmetry_space_group_name_H-M 'R -3 m'
_symmetry_Int_Tables_number 166
_symmetry_space_group_name_Hall '-R 3 2"'
loop_
_atom_site_label
_atom_site_fract_x
_atom_site_fract_y
_atom_site_fract_z
_atom_site_occupancy
Tb1 0.0000 0.0000 0.0000 1
Ce1 0.0000 0.0000 0.5000 1
Er1 0.0000 0.0000 0.2504 1
Tl1 0.0000 0.0000 0.1236 1
Tl2 0.0000 0.0000 0.3739 1

(10)
# Tb3CeEr2Tm6 | Alexandria | PBE-GGA | optimized geometry
# Size of the total moment = 2.11 μB/cell
# Formation energy from the elements = 0.04 eV per atom
# Volume = 30.57 Å³ per atom
data_Tb3CeEr2Tm6
_cell_length_a 6.087
_cell_length_b 10.536
_cell_length_c 11.618
_cell_angle_alpha 90.00
_cell_angle_beta 100.04
_cell_angle_gamma 90.00
_symmetry_space_group_name_H-M 'C 1 2/m 1'
_symmetry_Int_Tables_number 12
_symmetry_space_group_name_Hall '-C 2y'
loop_
_atom_site_label
_atom_site_fract_x
_atom_site_fract_y
_atom_site_fract_z
_atom_site_occupancy
Tb1 0.000 0.000 0.000 1
Tb2 0.000 0.332 0.000 1
Ce1 0.000 0.500 0.500 1
Er1 0.000 0.167 0.500 1
Tm1 0.248 0.500 0.251 1
Tm2 0.249 0.334 0.749 1

(11)
# Tb4CeErTm2 | Alexandria | PBE-GGA | optimized geometry
# Size of the total moment = 0.82 μB/cell
# Formation energy from the elements = 0.04 eV per atom
# Volume = 31.05 Å³ per atom
data_Tb4CeErTm2
_cell_length_a 6.108
_cell_length_b 3.527
_cell_length_c 11.706
_cell_angle_alpha 90.00
_cell_angle_beta 99.96
_cell_angle_gamma 90.00
_symmetry_space_group_name_H-M 'P 1 2/m 1'
_symmetry_Int_Tables_number 10
_symmetry_space_group_name_Hall '-P 2y'
loop_
_atom_site_label
_atom_site_fract_x
_atom_site_fract_y
_atom_site_fract_z
_atom_site_occupancy
Tb1 0.246 0.000 0.250 1
Tb2 0.248 0.500 0.750 1
Ce1 0.000 0.500 0.000 1
Er1 0.000 0.000 0.500 1
Tm1 0.500 0.000 0.000 1
Tm2 0.500 0.500 0.500 1

(12)
# Tb2CeEr2Tm2 | Alexandria | PBE-GGA | optimized geometry
# Size of the total moment = 0.03 μB/cell
# Formation energy from the elements = 0.15 eV per atom
# Volume = 31.41 Å³ per atom
data_Tb2CeEr2Tm2
_cell_length_a 17.393
_cell_length_b 3.445
_cell_length_c 8.171
_cell_angle_alpha 90.00
_cell_angle_beta 116.08
_cell_angle_gamma 90.00
_symmetry_space_group_name_H-M 'C 1 2/m 1'
_symmetry_Int_Tables_number 12
_symmetry_space_group_name_Hall '-C 2y'
loop_
_atom_site_label
_atom_site_fract_x
_atom_site_fract_y
_atom_site_fract_z
_atom_site_occupancy
Tb1 0.145 0.000 0.386 1
Ce1 0.000 0.500 0.500 1
Er1 0.211 0.500 0.795 1
Tm1 0.071 0.000 0.902 1

(13)
# Tb2CeEr4Tm | Alexandria | PBE-GGA | optimized geometry
# Size of the total moment = 0.74 μB/cell
# Formation energy from the elements = 0.04 eV per atom
# Volume = 30.72 Å³ per atom
data_Tb2CeEr4Tm
_cell_length_a 6.089
_cell_length_b 3.518
_cell_length_c 11.653
_cell_angle_alpha 90.00
_cell_angle_beta 100.10
_cell_angle_gamma 90.00
_symmetry_space_group_name_H-M 'P 1 2/m 1'
_symmetry_Int_Tables_number 10
_symmetry_space_group_name_Hall '-P 2y'
loop_
_atom_site_label
_atom_site_fract_x
_atom_site_fract_y
_atom_site_fract_z
_atom_site_occupancy
Tb1 0.000 0.000 0.000 1
Tb2 0.000 0.500 0.500 1
Ce1 0.500 0.000 0.500 1
Er1 0.253 0.000 0.751 1
Er2 0.253 0.500 0.251 1
Tm1 0.500 0.500 0.000 1

(14)
# Tb6CeErTm2 | Alexandria | PBE-GGA | optimized geometry
# Size of the total moment = 3.70 μB/cell
# Formation energy from the elements = 0.25 eV per atom
# Volume = 32.54 Å³ per atom
data_Tb6CeErTm2
_cell_length_a 11.357
_cell_length_b 6.740
_cell_length_c 8.901
_cell_angle_alpha 90.00
_cell_angle_beta 107.23
_cell_angle_gamma 90.00
_symmetry_space_group_name_H-M 'C 1 2/m 1'
_symmetry_Int_Tables_number 12
_symmetry_space_group_name_Hall '-C 2y'
loop_
_atom_site_label
_atom_site_fract_x
_atom_site_fract_y
_atom_site_fract_z
_atom_site_occupancy
Tb1 0.132 0.000 0.420 1
Tb2 0.167 0.259 0.803 1
Ce1 0.000 0.000 0.000 1
Er1 0.000 0.500 0.500 1
Tm1 0.090 0.500 0.175 1

(15)
# TbCe2Er6Tm3 | Alexandria | PBE-GGA | optimized geometry
# Size of the total moment = 3.51 μB/cell
# Formation energy from the elements = 0.05 eV per atom
# Volume = 30.42 Å³ per atom
data_TbCe2Er6Tm3
_cell_length_a 6.073
_cell_length_b 10.514
_cell_length_c 11.613
_cell_angle_alpha 90.00
_cell_angle_beta 100.04
_cell_angle_gamma 90.00
_symmetry_space_group_name_H-M 'C 1 2/m 1'
_symmetry_Int_Tables_number 12
_symmetry_space_group_name_Hall '-C 2y'
loop_
_atom_site_label
_atom_site_fract_x
_atom_site_fract_y
_atom_site_fract_z
_atom_site_occupancy
Tb1 0.000 0.000 0.000 1
Ce1 0.000 0.333 0.000 1
Er1 0.248 0.332 0.749 1
Er2 0.249 0.500 0.251 1
Tm1 0.000 0.166 0.500 1
Tm2 0.000 0.500 0.500 1

(16)
# TbCe2Er3Tm6 | Alexandria | PBE-GGA | optimized geometry
# Size of the total moment = 3.41 μB/cell
# Formation energy from the elements = 0.05 eV per atom
# Volume = 30.28 Å³ per atom
data_TbCe2Er3Tm6
_cell_length_a 6.066
_cell_length_b 10.501
_cell_length_c 11.584
_cell_angle_alpha 90.00
_cell_angle_beta 100.05
_cell_angle_gamma 90.00
_symmetry_space_group_name_H-M 'C 1 2/m 1'
_symmetry_Int_Tables_number 12
_symmetry_space_group_name_Hall '-C 2y'
loop_
_atom_site_label
_atom_site_fract_x
_atom_site_fract_y
_atom_site_fract_z
_atom_site_occupancy
Tb1 0.000 0.000 0.000 1
Ce1 0.000 0.333 0.000 1
Er1 0.000 0.166 0.500 1
Er2 0.000 0.500 0.500 1
Tm1 0.248 0.332 0.750 1
Tm2 0.249 0.500 0.250 1

(17)
# Tb3Ce2ErTm6 | Alexandria | PBE-GGA | optimized geometry
# Size of the total moment = 3.41 μB/cell
# Formation energy from the elements = 0.04 eV per atom
# Volume = 30.46 Å³ per atom
data_Tb3Ce2ErTm6
_cell_length_a 6.082
_cell_length_b 10.529
_cell_length_c 11.594
_cell_angle_alpha 90.00
_cell_angle_beta 100.05
_cell_angle_gamma 90.00
_symmetry_space_group_name_H-M 'C 1 2/m 1'
_symmetry_Int_Tables_number 12
_symmetry_space_group_name_Hall '-C 2y'
loop_
_atom_site_label
_atom_site_fract_x
_atom_site_fract_y
_atom_site_fract_z
_atom_site_occupancy
Tb1 0.000 0.000 0.000 1
Tb2 0.000 0.334 0.000 1
Ce1 0.000 0.166 0.500 1
Er1 0.000 0.500 0.500 1
Tm1 0.248 0.000 0.748 1
Tm2 0.249 0.168 0.252 1

(18)
# Tb6CeEr3Tm2 | Alexandria | PBE-GGA | optimized geometry
# Size of the total moment = 2.47 μB/cell
# Formation energy from the elements = 0.04 eV per atom
# Volume = 31.17 Å³ per atom
data_Tb6CeEr3Tm2
_cell_length_a 6.121
_cell_length_b 10.598
_cell_length_c 11.712
_cell_angle_alpha 90.00
_cell_angle_beta 100.03
_cell_angle_gamma 90.00
_symmetry_space_group_name_H-M 'C 1 2/m 1'
_symmetry_Int_Tables_number 12
_symmetry_space_group_name_Hall '-C 2y'
loop_
_atom_site_label
_atom_site_fract_x
_atom_site_fract_y
_atom_site_fract_z
_atom_site_occupancy
Tb1 0.248 0.000 0.250 1
Tb2 0.249 0.166 0.750 1
Ce1 0.000 0.000 0.500 1
Er1 0.000 0.167 0.000 1
Er2 0.000 0.500 0.000 1
Tm1 0.000 0.333 0.500 1

(19)
# TbCeEr4Tm2 | Alexandria | PBE-GGA | optimized geometry
# Size of the total moment = 0.92 μB/cell
# Formation energy from the elements = 0.05 eV per atom
# Volume = 30.58 Å³ per atom
data_TbCeEr4Tm2
_cell_length_a 4.963
_cell_length_b 4.973
_cell_length_c 9.913
_cell_angle_alpha 90.00
_cell_angle_beta 90.00
_cell_angle_gamma 90.00
_symmetry_space_group_name_H-M 'P m m m'
_symmetry_Int_Tables_number 47
_symmetry_space_group_name_Hall '-P 2 2'
loop_
_atom_site_label
_atom_site_fract_x
_atom_site_fract_y
_atom_site_fract_z
_atom_site_occupancy
Tb1 0.000 0.000 0.000 1
Ce1 0.500 0.500 0.500 1
Er1 0.000 0.500 0.251 1
Er2 0.500 0.000 0.251 1
Tm1 0.000 0.000 0.500 1
Tm2 0.500 0.500 0.000 1

(20)
# TbCeEr5Tm2 | Alexandria | PBE-GGA | optimized geometry
# Size of the total moment = 2.57 μB/cell
# Formation energy from the elements = 0.18 eV per atom
# Volume = 31.48 Å³ per atom
data_TbCeEr5Tm2
_cell_length_a 5.629
_cell_length_b 21.246
_cell_length_c 9.475
_cell_angle_alpha 90.00
_cell_angle_beta 90.00
_cell_angle_gamma 90.00
_symmetry_space_group_name_H-M 'C m c 21'
_symmetry_Int_Tables_number 36
_symmetry_space_group_name_Hall 'C 2c -2'
loop_
_atom_site_label
_atom_site_fract_x
_atom_site_fract_y
_atom_site_fract_z
_atom_site_occupancy
Tb1 0.000 0.097 0.000 1
Ce1 0.000 0.307 0.404 1
Er1 0.000 0.029 0.679 1
Er2 0.000 0.106 0.383 1
Er3 0.000 0.194 0.711 1
Er4 0.000 0.233 0.093 1
Er5 0.000 0.486 0.412 1
Tm1 0.000 0.366 0.719 1
Tm2 0.000 0.387 0.103 1